Record 1
Tb3Dy3Mg (PBE, optimized geometry); total moment = 0.0 μB per cell; energy relative to the lowest polymorph listed for this composition = 0 meV per atom; final energy = -29.17 eV/f.u.; E_form = 0.02 eV per atom
1.0
9.408 0.000 0.000
-4.704 8.147 0.000
0.000 0.000 5.613
Tb Dy Mg
6 6 2
Cartesian
-0.604 1.965 1.403 Tb
-2.700 7.688 1.403 Tb
1.400 1.506 4.210 Tb
3.304 6.641 1.403 Tb
7.404 0.460 4.210 Tb
5.308 6.182 4.210 Tb
-1.278 3.887 4.210 Dy
-0.698 7.311 4.210 Dy
2.728 3.051 1.403 Dy
1.976 5.097 4.210 Dy
5.402 0.837 1.403 Dy
5.982 4.260 1.403 Dy
0.000 5.432 1.403 Mg
4.704 2.716 4.210 Mg

Record 2
TbDy2Mg5 (PBE, optimized geometry); total moment = 0.0 μB per cell; final energy = -22.39 eV/f.u.; E_form = -0.07 eV per atom
1.0
-2.626 2.626 7.567
2.626 -2.626 7.567
2.626 2.626 -7.567
Tb Dy Mg
1 2 5
Cartesian
0.000 0.000 0.000 Tb
0.000 0.000 3.885 Dy
0.000 0.000 11.250 Dy
2.626 0.000 1.817 Mg
2.626 0.000 5.751 Mg
0.000 0.000 7.567 Mg
0.000 2.626 1.817 Mg
0.000 2.626 5.751 Mg

Record 3
Tb6Dy3Mg2 (PBE, optimized geometry); total moment = 0.0 μB per cell; final energy = -43.47 eV/f.u.; E_form = 0.12 eV per atom
1.0
3.046 -5.280 0.000
3.046 5.280 0.000
-2.042 0.000 11.103
Tb Dy Mg
6 3 2
Cartesian
-0.013 1.768 8.419 Tb
1.001 0.000 2.687 Tb
-0.013 -1.768 8.419 Tb
4.063 1.768 2.684 Tb
3.049 0.000 8.416 Tb
4.063 -1.768 2.684 Tb
-1.021 0.000 5.551 Dy
2.025 1.756 5.551 Dy
2.025 -1.756 5.551 Dy
3.046 3.524 0.000 Mg
3.046 -3.524 0.000 Mg

Record 4
Tb4Dy5Mg2 (PBE, optimized geometry); total moment = 0.0 μB per cell; energy relative to the lowest polymorph listed for this composition = 204 meV per atom; final energy = -42.16 eV/f.u.; E_form = 0.23 eV per atom
1.0
-1.707 4.411 11.475
1.707 -4.411 11.475
1.707 4.411 -11.475
Tb Dy Mg
4 5 2
Cartesian
1.707 1.597 0.000 Tb
0.000 0.000 5.336 Tb
0.000 0.000 17.613 Tb
0.000 2.815 11.475 Tb
1.707 2.670 -3.209 Dy
1.707 2.670 3.209 Dy
0.000 4.411 0.000 Dy
0.000 1.741 8.265 Dy
0.000 1.741 14.684 Dy
0.000 0.000 2.263 Mg
0.000 0.000 20.686 Mg

Record 5
Tb2Dy7Mg (PBE, optimized geometry); total moment = 0.0 μB per cell; final energy = -36.36 eV/f.u.; E_form = 0.67 eV per atom
1.0
4.326 -8.170 0.000
4.326 8.170 0.000
0.000 0.000 5.354
Tb Dy Mg
2 7 1
Cartesian
4.326 4.806 0.000 Tb
4.326 -4.806 0.000 Tb
0.000 0.000 0.000 Dy
2.789 1.756 0.000 Dy
4.326 3.334 2.677 Dy
2.789 -1.756 0.000 Dy
5.863 1.756 0.000 Dy
4.326 -3.334 2.677 Dy
5.863 -1.756 0.000 Dy
4.326 0.000 2.677 Mg

Record 6
TbDyMg4 (PBE, optimized geometry); total moment = 0.0 μB per cell; energy relative to the lowest polymorph listed for this composition = 27 meV per atom; final energy = -15.88 eV/f.u.; E_form = -0.04 eV per atom
1.0
6.869 -1.725 0.000
6.869 1.725 0.000
-1.676 0.000 6.586
Tb Dy Mg
1 1 4
Cartesian
0.000 0.000 0.000 Tb
-0.838 0.000 3.293 Dy
4.187 0.000 1.072 Mg
3.355 0.000 4.358 Mg
8.707 0.000 2.228 Mg
7.876 0.000 5.514 Mg

Record 7
TbDyMg (PBE, optimized geometry); total moment = 0.0 μB per cell; energy relative to the lowest polymorph listed for this composition = 0 meV per atom; final energy = -10.95 eV/f.u.; E_form = -0.04 eV per atom
1.0
-1.830 1.830 6.488
1.830 -1.830 6.488
1.830 1.830 -6.488
Tb Dy Mg
1 1 1
Cartesian
0.000 0.000 0.000 Tb
0.000 0.000 4.134 Dy
0.000 0.000 8.564 Mg

Record 8
TbDy2Mg2 (PBE, optimized geometry); total moment = 0.0 μB per cell; energy relative to the lowest polymorph listed for this composition = 0 meV per atom; final energy = -17.36 eV/f.u.; E_form = -0.07 eV per atom
1.0
1.864 -13.928 0.000
1.864 13.928 0.000
0.000 0.000 5.438
Tb Dy Mg
2 4 4
Cartesian
1.864 9.712 4.079 Tb
1.864 -9.712 1.360 Tb
1.864 12.699 1.360 Dy
1.864 7.316 1.360 Dy
1.864 -7.316 4.079 Dy
1.864 -12.699 4.079 Dy
1.864 3.903 4.079 Mg
1.864 1.487 1.360 Mg
1.864 -1.487 4.079 Mg
1.864 -3.903 1.360 Mg

Record 9
Tb7Dy12Mg (PBE, optimized geometry); total moment = 0.0 μB per cell; energy relative to the lowest polymorph listed for this composition = 0 meV per atom; final energy = -84.97 eV/f.u.; E_form = 0.21 eV per atom
1.0
5.948 3.434 5.285
-5.948 3.434 5.285
0.000 -6.868 5.285
Tb Dy Mg
7 12 1
Cartesian
0.000 0.000 0.000 Tb
-1.464 -1.372 4.650 Tb
-0.456 1.954 4.650 Tb
1.920 -0.582 4.650 Tb
-1.920 0.582 11.206 Tb
0.456 -1.954 11.206 Tb
1.464 1.372 11.206 Tb
-2.149 -4.817 6.596 Dy
-5.246 -0.548 9.260 Dy
-3.047 0.947 7.111 Dy
-2.344 -2.165 8.745 Dy
0.703 -3.113 7.111 Dy
-3.097 4.270 6.596 Dy
3.097 -4.270 9.260 Dy
-0.703 3.113 8.745 Dy
2.344 2.165 7.111 Dy
3.047 -0.947 8.745 Dy
5.246 0.548 6.596 Dy
2.149 4.817 9.260 Dy
0.000 0.000 7.928 Mg

Record 10
TbDyMg14 (PBE, optimized geometry); total moment = 0.0 μB per cell; final energy = -32.06 eV/f.u.; E_form = -0.03 eV per atom
1.0
6.923 0.000 0.000
0.000 6.923 0.000
0.000 0.000 8.002
Tb Dy Mg
1 1 14
Cartesian
0.000 0.000 0.000 Tb
3.461 3.461 0.000 Dy
0.000 0.000 4.001 Mg
0.000 3.461 0.000 Mg
0.000 3.461 4.001 Mg
1.733 1.733 2.091 Mg
1.733 1.733 5.911 Mg
1.733 5.190 2.091 Mg
1.733 5.190 5.911 Mg
3.461 0.000 0.000 Mg
3.461 0.000 4.001 Mg
3.461 3.461 4.001 Mg
5.190 1.733 2.091 Mg
5.190 1.733 5.911 Mg
5.190 5.190 2.091 Mg
5.190 5.190 5.911 Mg

Record 11
TbDy4Mg7 (PBE, optimized geometry); total moment = 0.0 μB per cell; energy relative to the lowest polymorph listed for this composition = 173 meV per atom; final energy = -32.37 eV/f.u.; E_form = 0.15 eV per atom
1.0
5.769 -2.824 0.000
5.769 2.824 0.000
-5.030 0.000 10.380
Tb Dy Mg
1 4 7
Cartesian
0.000 0.000 0.000 Tb
-2.018 0.000 8.081 Dy
1.552 0.000 7.026 Dy
4.955 0.000 3.354 Dy
8.525 0.000 2.299 Dy
-1.039 0.000 5.111 Mg
1.330 0.000 3.350 Mg
3.054 0.000 0.803 Mg
5.769 0.000 0.000 Mg
3.453 0.000 9.577 Mg
5.176 0.000 7.030 Mg
7.546 0.000 5.269 Mg

Record 12
Tb4Dy15Mg (PBE, optimized geometry); total moment = 0.0 μB per cell; final energy = -88.79 eV/f.u.; E_form = 0.02 eV per atom
1.0
4.992 0.000 0.000
0.000 4.992 0.000
0.000 0.000 25.011
Tb Dy Mg
4 15 1
Cartesian
0.000 0.000 2.521 Tb
0.000 0.000 7.561 Tb
0.000 0.000 17.449 Tb
0.000 0.000 22.490 Tb
0.000 2.496 0.000 Dy
0.000 2.496 5.041 Dy
0.000 2.496 10.056 Dy
0.000 2.496 14.954 Dy
0.000 2.496 19.970 Dy
2.496 0.000 0.000 Dy
2.496 0.000 5.041 Dy
2.496 0.000 10.056 Dy
2.496 0.000 14.954 Dy
2.496 0.000 19.970 Dy
2.496 2.496 2.530 Dy
2.496 2.496 7.598 Dy
2.496 2.496 12.505 Dy
2.496 2.496 17.413 Dy
2.496 2.496 22.481 Dy
0.000 0.000 12.505 Mg

What is the total moment in the seventh record? 0.0 μB per cell